# 1
Computed, not measured: a relaxed structure of Al3FeNi6 at the GGA-PBE level of DFT.

Cell: 4.1242 6.8022 9.0716 Å, 113.46 90.00 90.00°
Atoms (fractional coordinates):
Al (0.2500, 0.5531, 0.3780)
Al (0.7500, 0.4469, 0.6220)
Al (0.2500, 0.3538, 0.7763)
Al (0.7500, 0.6462, 0.2237)
Al (0.2500, 0.7793, 0.9789)
Al (0.7500, 0.2207, 0.0211)
Fe (0.2500, 0.9599, 0.5697)
Fe (0.7500, 0.0401, 0.4303)
Ni (0.2500, 0.4645, 0.0747)
Ni (0.7500, 0.5355, 0.9253)
Ni (0.2500, 0.1631, 0.1728)
Ni (0.7500, 0.8369, 0.8272)
Ni (0.2500, 0.6643, 0.6767)
Ni (0.7500, 0.3357, 0.3233)
Ni (0.2500, 0.2596, 0.4727)
Ni (0.7500, 0.7404, 0.5273)
Ni (0.2500, 0.8666, 0.2757)
Ni (0.7500, 0.1334, 0.7243)
Ni (0.2500, 0.0611, 0.8666)
Ni (0.7500, 0.9389, 0.1334)

Energy of formation from the pure elements ... -0.40 eV/atom

# 2
Computed, not measured: a relaxed structure of Cs2BrO3 at the GGA-PBE level of DFT.

Cell: 7.8099 7.8099 8.2790 Å, 106.28 106.28 113.94°
Atoms (fractional coordinates):
Cs (0.2500, 0.7500, 0.5000)
Cs (0.7350, 0.7350, 0.0000)
Cs (0.7500, 0.2500, 0.5000)
Cs (0.2650, 0.2650, 0.0000)
Br (0.7260, 0.7260, 0.4519)
Br (0.2740, 0.2740, 0.5481)
O (0.5331, 0.7696, 0.3026)
O (0.2304, 0.4669, 0.6974)
O (0.4669, 0.2304, 0.6974)
O (0.7696, 0.5331, 0.3026)
O (0.1415, 0.1415, 0.2829)
O (0.8585, 0.8585, 0.7171)

Formation energy without anion corrections ... -0.660 eV per atom

# 3
Computed, not measured: a relaxed structure of Re2Tc4Rh3 at the GGA-PBE level of DFT.

Cell: 5.3223 6.0615 11.0461 Å, 72.54 125.02 100.79°
Atoms (fractional coordinates):
Re (0.7048, 0.3722, 0.2072)
Re (0.8722, 0.8038, 0.4906)
Re (0.2952, 0.6278, 0.7928)
Re (0.1278, 0.1962, 0.5094)
Tc (0.6643, 0.2088, 0.9771)
Tc (0.0328, 0.0071, 0.7283)
Tc (0.3357, 0.7912, 0.0229)
Tc (0.9672, 0.9929, 0.2717)
Tc (0.1665, 0.3924, 0.1519)
Tc (0.4411, 0.8072, 0.5671)
Tc (0.8335, 0.6076, 0.8481)
Tc (0.5589, 0.1928, 0.4329)
Rh (0.1523, 0.2433, 0.9342)
Rh (0.6109, 0.0285, 0.7838)
Rh (0.8477, 0.7567, 0.0658)
Rh (0.3891, 0.9715, 0.2162)
Rh (0.7594, 0.4211, 0.6380)
Rh (0.2406, 0.5789, 0.3620)

Energy of formation from the pure elements ... 0.23 eV/atom

# 4
Computed, not measured: a relaxed structure of LaNd2Sm2Tm2 at the GGA-PBE level of DFT.

Cell: 3.5606 6.1587 12.0218 Å, 71.46 90.00 106.80°
Atoms (fractional coordinates):
La (0.0000, 0.0000, 0.5000)
Nd (0.6689, 0.3377, 0.9163)
Nd (0.3311, 0.6623, 0.0837)
Sm (0.4491, 0.8983, 0.7713)
Sm (0.5509, 0.1017, 0.2287)
Tm (0.7758, 0.5516, 0.3631)
Tm (0.2242, 0.4484, 0.6369)

Energy of formation from the pure elements ... 0.09 eV/atom

# 5
Computed, not measured: a relaxed structure of SrAc2La3N6 at the GGA-PBE level of DFT.

Cell: 3.8332 7.6692 8.3601 Å, 103.38 103.25 90.00°
Atoms (fractional coordinates):
Sr (0.5000, 0.0000, 0.0000)
Ac (0.8354, 0.6701, 0.6708)
Ac (0.1646, 0.3299, 0.3292)
La (0.5000, 0.5000, 0.0000)
La (0.8353, 0.1610, 0.6706)
La (0.1647, 0.8390, 0.3294)
N (0.3252, 0.9222, 0.6505)
N (0.6666, 0.5811, 0.3331)
N (0.6748, 0.0778, 0.3495)
N (0.9981, 0.2656, 0.9961)
N (0.0019, 0.7344, 0.0039)
N (0.3334, 0.4189, 0.6669)

Formation energy without anion corrections ... -1.067 eV per atom

# 6
Computed, not measured: a relaxed structure of Cs2KTl10 at the GGA-PBE level of DFT.

Cell: 7.3973 8.8774 17.1636 Å, 90.00 90.00 90.00°
Atoms (fractional coordinates):
Cs (0.5000, 0.2936, 0.9208)
Cs (0.5000, 0.7064, 0.0792)
Cs (0.5000, 0.7936, 0.5792)
Cs (0.5000, 0.2064, 0.4208)
K (0.0000, 0.5000, 0.5000)
K (0.0000, 0.0000, 0.0000)
Tl (0.0000, 0.1325, 0.5609)
Tl (0.0000, 0.8675, 0.4391)
Tl (0.0000, 0.6325, 0.9391)
Tl (0.0000, 0.3675, 0.0609)
Tl (0.0000, 0.8086, 0.6443)
Tl (0.0000, 0.1914, 0.3557)
Tl (0.2780, 0.3290, 0.2022)
Tl (0.2780, 0.6710, 0.7978)
Tl (0.7220, 0.8290, 0.2978)
Tl (0.7220, 0.1710, 0.7022)
Tl (0.7220, 0.6710, 0.7978)
Tl (0.7220, 0.3290, 0.2022)
Tl (0.2780, 0.1710, 0.7022)
Tl (0.2780, 0.8290, 0.2978)
Tl (0.0000, 0.0373, 0.1949)
Tl (0.0000, 0.9627, 0.8051)
Tl (0.0000, 0.5373, 0.3051)
Tl (0.0000, 0.4627, 0.6949)
Tl (0.0000, 0.6914, 0.1443)
Tl (0.0000, 0.3086, 0.8557)

Energy of formation from the pure elements ... -0.01 eV/atom

Number 1: V 233.45 Å³ per cell. Number 2: V 395.85 Å³ per cell. Number 3: V 278.33 Å³ per cell. Number 4: V 238.04 Å³ per cell. Number 5: V 232.36 Å³ per cell. Number 6: V 1127.10 Å³ per cell.